The following is a DFT calculation (PBE) of crystalline ZrSiIrN2 at its relaxed geometry.

SG ... No. 123
Formation energy from raw total energies ... 36.4 kJ/mol of atoms

Geometry as POSCAR:
```
ZrSiIrN2
1.0
3.713 0.000 0.000
0.000 4.817 0.000
0.000 0.000 3.713
N Ir Si Zr
2 1 1 1
direct
0.000 0.000 0.500
0.500 0.000 0.000
0.000 0.500 0.000
0.000 0.000 0.000
0.500 0.500 0.500
```

The following is a DFT calculation (PBE) of crystalline PmYPtAu at its relaxed geometry.

Formation energy from the elements ... -0.973 eV/atom
E above lowest polymorph ... 58 meV per atom
SG ... No. 216

Geometry as POSCAR:
```
PmYPtAu
1.0
5.088 0.000 0.000
2.544 4.406 0.000
2.544 1.469 4.154
Pt Pm Au Y
1 1 1 1
direct
0.750 0.750 0.750
0.000 0.000 0.000
0.250 0.250 0.250
0.500 0.500 0.500
```

The following is a DFT calculation (PBE) of crystalline Dy3CI3 at its relaxed geometry.

SG ... No. 11
Formation energy from raw total energies ... -97.6 kJ/mol of atoms

Geometry as POSCAR:
```
Dy3CI3
1.0
3.906 0.000 0.000
0.000 8.692 -0.391
0.000 0.102 12.057
I Dy C
6 6 2
direct
0.250 0.383 0.369
0.750 0.617 0.631
0.250 0.859 0.869
0.750 0.141 0.131
0.750 0.627 0.133
0.250 0.373 0.867
0.250 0.888 0.193
0.750 0.112 0.807
0.250 0.292 0.613
0.750 0.708 0.387
0.250 0.918 0.598
0.750 0.082 0.402
0.750 0.117 0.611
0.250 0.883 0.389
```